Entry 1:
# Ba4CoCu | Alexandria | PBE | relaxed
data_Ba4CoCu
_cell_length_a 7.095
_cell_length_b 7.095
_cell_length_c 7.095
_cell_angle_alpha 60.00
_cell_angle_beta 60.00
_cell_angle_gamma 60.00
_space_group_name_H-M_alt 'P 1'
_space_group_IT_number 1
loop_
_space_group_symop_operation_xyz
'x,y,z'
loop_
_atom_site_label
_atom_site_type_symbol
_atom_site_fract_x
_atom_site_fract_y
_atom_site_fract_z
Ba1 Ba 0.874 0.375 0.375
Ba2 Ba 0.375 0.375 0.874
Ba3 Ba 0.375 0.874 0.375
Ba4 Ba 0.375 0.375 0.375
Co1 Co 0.750 0.750 0.750
Cu1 Cu 0.000 0.000 0.000
# Formation enthalpy at 0 K ... 628 kJ/mol of formula units
# Symmetry ... No. 216

Entry 2:
# Mg6MnSe8 | Alexandria | PBE | relaxed
data_Mg6MnSe8
_cell_length_a 7.730
_cell_length_b 7.730
_cell_length_c 7.730
_cell_angle_alpha 60.00
_cell_angle_beta 60.00
_cell_angle_gamma 60.00
_space_group_name_H-M_alt 'P 1'
_space_group_IT_number 1
loop_
_space_group_symop_operation_xyz
'x,y,z'
loop_
_atom_site_label
_atom_site_type_symbol
_atom_site_fract_x
_atom_site_fract_y
_atom_site_fract_z
Mg1 Mg 0.000 0.500 0.500
Mg2 Mg 0.500 0.000 0.000
Mg3 Mg 0.500 0.500 0.000
Mg4 Mg 0.000 0.000 0.500
Mg5 Mg 0.000 0.500 0.000
Mg6 Mg 0.500 0.000 0.500
Mn1 Mn 0.000 0.000 0.000
Se1 Se 0.750 0.750 0.750
Se2 Se 0.250 0.250 0.250
Se3 Se 0.767 0.233 0.233
Se4 Se 0.233 0.767 0.767
Se5 Se 0.233 0.233 0.767
Se6 Se 0.767 0.767 0.233
Se7 Se 0.767 0.233 0.767
Se8 Se 0.233 0.767 0.233
# ΔE_f (raw) ... -103 kJ per mole of atoms
# Symmetry ... No. 225

Entry 3:
# La2SbPt2 | Alexandria | PBE | relaxed
data_La2SbPt2
_cell_length_a 5.665
_cell_length_b 5.665
_cell_length_c 5.814
_cell_angle_alpha 60.84
_cell_angle_beta 60.84
_cell_angle_gamma 90.00
_space_group_name_H-M_alt 'P 1'
_space_group_IT_number 1
loop_
_space_group_symop_operation_xyz
'x,y,z'
loop_
_atom_site_label
_atom_site_type_symbol
_atom_site_fract_x
_atom_site_fract_y
_atom_site_fract_z
Sb1 Sb 0.000 0.000 0.000
Pt1 Pt 0.348 0.348 0.304
Pt2 Pt 0.652 0.652 0.696
La1 La 0.750 0.250 0.500
La2 La 0.250 0.750 0.500
# Distance to the lowest polymorph of the same formula ... 103.9 meV per atom
# ΔE_f (raw) ... -102 kJ per mole of atoms
# Symmetry ... No. 139

Entry 4:
# VSi2PdN | Alexandria | PBE | relaxed
data_VSi2PdN
_cell_length_a 3.985
_cell_length_b 4.070
_cell_length_c 3.985
_cell_angle_alpha 90.00
_cell_angle_beta 90.00
_cell_angle_gamma 90.00
_space_group_name_H-M_alt 'P 1'
_space_group_IT_number 1
loop_
_space_group_symop_operation_xyz
'x,y,z'
loop_
_atom_site_label
_atom_site_type_symbol
_atom_site_fract_x
_atom_site_fract_y
_atom_site_fract_z
Si1 Si 0.000 0.000 0.500
Si2 Si 0.500 0.000 0.000
N1 N 0.000 0.000 0.000
Pd1 Pd 0.000 0.500 0.000
V1 V 0.500 0.500 0.500
# ΔE_f (raw) ... 44 kJ per mole of atoms
# Symmetry ... No. 123

Entry 5:
# K2TcRhO6 | Alexandria | PBE | relaxed
data_K2TcRhO6
_cell_length_a 5.596
_cell_length_b 5.596
_cell_length_c 5.593
_cell_angle_alpha 59.91
_cell_angle_beta 59.91
_cell_angle_gamma 89.89
_space_group_name_H-M_alt 'P 1'
_space_group_IT_number 1
loop_
_space_group_symop_operation_xyz
'x,y,z'
loop_
_atom_site_label
_atom_site_type_symbol
_atom_site_fract_x
_atom_site_fract_y
_atom_site_fract_z
K1 K 0.750 0.250 0.500
K2 K 0.250 0.750 0.500
Tc1 Tc 0.000 0.000 0.000
Rh1 Rh 0.500 0.500 0.000
O1 O 0.243 0.243 0.515
O2 O 0.758 0.758 0.000
O3 O 0.242 0.758 0.000
O4 O 0.758 0.242 0.000
O5 O 0.242 0.242 0.000
O6 O 0.757 0.757 0.485
# ΔE_f (raw) ... -122 kJ per mole of atoms
# Symmetry ... No. 69

Entry 6:
# Sr2CuF7 | Alexandria | PBE | relaxed
data_Sr2CuF7
_cell_length_a 8.219
_cell_length_b 7.457
_cell_length_c 7.787
_cell_angle_alpha 53.12
_cell_angle_beta 58.14
_cell_angle_gamma 56.56
_space_group_name_H-M_alt 'P 1'
_space_group_IT_number 1
loop_
_space_group_symop_operation_xyz
'x,y,z'
loop_
_atom_site_label
_atom_site_type_symbol
_atom_site_fract_x
_atom_site_fract_y
_atom_site_fract_z
Sr1 Sr 0.544 0.884 0.782
Sr2 Sr 0.791 0.384 0.282
Sr3 Sr 0.209 0.616 0.718
Sr4 Sr 0.456 0.116 0.218
Cu1 Cu 0.842 0.250 0.750
Cu2 Cu 0.158 0.750 0.250
F1 F 0.683 0.408 0.918
F2 F 0.992 0.908 0.418
F3 F 0.158 0.024 0.997
F4 F 0.600 0.160 0.392
F5 F 0.539 0.250 0.750
F6 F 0.821 0.524 0.497
F7 F 0.152 0.340 0.108
F8 F 0.848 0.660 0.892
F9 F 0.179 0.476 0.503
F10 F 0.461 0.750 0.250
F11 F 0.400 0.840 0.608
F12 F 0.842 0.976 0.003
F13 F 0.008 0.092 0.582
F14 F 0.317 0.592 0.082
# ΔE_f (raw) ... -276 kJ per mole of atoms
# Symmetry ... No. 15

Entry 7:
# Li3U5N12 | Alexandria | PBE | relaxed
data_Li3U5N12
_cell_length_a 11.167
_cell_length_b 11.167
_cell_length_c 11.167
_cell_angle_alpha 109.47
_cell_angle_beta 109.47
_cell_angle_gamma 109.47
_space_group_name_H-M_alt 'P 1'
_space_group_IT_number 1
loop_
_space_group_symop_operation_xyz
'x,y,z'
loop_
_atom_site_label
_atom_site_type_symbol
_atom_site_fract_x
_atom_site_fract_y
_atom_site_fract_z
Li1 Li 0.750 0.375 0.125
Li2 Li 0.875 0.750 0.125
Li3 Li 0.375 0.750 0.625
Li4 Li 0.250 0.125 0.375
Li5 Li 0.875 0.125 0.250
Li6 Li 0.375 0.625 0.250
Li7 Li 0.625 0.375 0.750
Li8 Li 0.125 0.875 0.750
Li9 Li 0.750 0.875 0.625
Li10 Li 0.625 0.250 0.375
Li11 Li 0.125 0.250 0.875
Li12 Li 0.250 0.625 0.875
U1 U 0.125 0.375 0.250
U2 U 0.000 0.500 0.000
U3 U 0.000 0.000 0.000
U4 U 0.375 0.250 0.125
U5 U 0.500 0.000 0.500
U6 U 0.500 0.500 0.000
U7 U 0.125 0.750 0.375
U8 U 0.750 0.125 0.875
U9 U 0.750 0.625 0.375
U10 U 0.375 0.125 0.750
U11 U 0.625 0.875 0.250
U12 U 0.500 0.500 0.500
U13 U 0.500 0.000 0.000
U14 U 0.000 0.000 0.500
U15 U 0.250 0.375 0.625
U16 U 0.250 0.875 0.125
U17 U 0.000 0.500 0.500
U18 U 0.875 0.250 0.625
U19 U 0.625 0.750 0.875
U20 U 0.875 0.625 0.750
N1 N 0.614 0.163 0.959
N2 N 0.345 0.459 0.297
N3 N 0.041 0.337 0.386
N4 N 0.459 0.114 0.163
N5 N 0.452 0.614 0.655
N6 N 0.041 0.703 0.155
N7 N 0.345 0.886 0.548
N8 N 0.203 0.048 0.163
N9 N 0.703 0.041 0.655
N10 N 0.614 0.452 0.155
N11 N 0.886 0.541 0.337
N12 N 0.845 0.797 0.959
N13 N 0.163 0.614 0.459
N14 N 0.337 0.297 0.952
N15 N 0.952 0.797 0.337
N16 N 0.548 0.163 0.703
N17 N 0.952 0.155 0.114
N18 N 0.541 0.655 0.203
N19 N 0.845 0.048 0.386
N20 N 0.163 0.548 0.203
N21 N 0.337 0.041 0.886
N22 N 0.703 0.663 0.548
N23 N 0.797 0.845 0.459
N24 N 0.886 0.345 0.048
N25 N 0.297 0.337 0.452
N26 N 0.203 0.155 0.541
N27 N 0.114 0.655 0.952
N28 N 0.155 0.952 0.614
N29 N 0.663 0.959 0.114
N30 N 0.837 0.452 0.797
N31 N 0.459 0.345 0.797
N32 N 0.452 0.837 0.297
N33 N 0.048 0.845 0.886
N34 N 0.048 0.203 0.663
N35 N 0.837 0.386 0.541
N36 N 0.155 0.203 0.041
N37 N 0.663 0.703 0.048
N38 N 0.297 0.959 0.345
N39 N 0.386 0.548 0.845
N40 N 0.114 0.459 0.663
N41 N 0.797 0.952 0.837
N42 N 0.655 0.114 0.452
N43 N 0.541 0.886 0.837
N44 N 0.959 0.297 0.845
N45 N 0.548 0.386 0.345
N46 N 0.959 0.663 0.614
N47 N 0.655 0.541 0.703
N48 N 0.386 0.837 0.041
# ΔE_f (raw) ... -74 kJ per mole of atoms
# Symmetry ... No. 230

Entry 8:
# KY2Cu2Se4 | Alexandria | PBE | relaxed
data_KY2Cu2Se4
_cell_length_a 3.812
_cell_length_b 7.929
_cell_length_c 7.821
_cell_angle_alpha 116.14
_cell_angle_beta 90.00
_cell_angle_gamma 103.91
_space_group_name_H-M_alt 'P 1'
_space_group_IT_number 1
loop_
_space_group_symop_operation_xyz
'x,y,z'
loop_
_atom_site_label
_atom_site_type_symbol
_atom_site_fract_x
_atom_site_fract_y
_atom_site_fract_z
K1 K 0.000 0.000 0.000
Y1 Y 0.875 0.751 0.439
Y2 Y 0.125 0.249 0.561
Cu1 Cu 0.300 0.601 0.969
Cu2 Cu 0.700 0.399 0.031
Se1 Se 0.781 0.562 0.732
Se2 Se 0.219 0.438 0.268
Se3 Se 0.461 0.923 0.272
Se4 Se 0.539 0.077 0.728
# ΔE_f (raw) ... -102 kJ per mole of atoms
# Symmetry ... No. 12

Entry 9:
# CaCe2Zn4 | Alexandria | PBE | relaxed
data_CaCe2Zn4
_cell_length_a 5.036
_cell_length_b 5.036
_cell_length_c 8.687
_cell_angle_alpha 73.15
_cell_angle_beta 73.15
_cell_angle_gamma 60.00
_space_group_name_H-M_alt 'P 1'
_space_group_IT_number 1
loop_
_space_group_symop_operation_xyz
'x,y,z'
loop_
_atom_site_label
_atom_site_type_symbol
_atom_site_fract_x
_atom_site_fract_y
_atom_site_fract_z
Ca1 Ca 0.000 0.000 0.000
Zn1 Zn 0.874 0.874 0.377
Zn2 Zn 0.126 0.126 0.623
Zn3 Zn 0.620 0.620 0.141
Zn4 Zn 0.380 0.380 0.859
Ce1 Ce 0.752 0.752 0.744
Ce2 Ce 0.248 0.248 0.256
# Formation enthalpy at 0 K ... 15 kJ/mol of formula units
# Symmetry ... No. 166

Entry 10:
# La6Pd2Au | Alexandria | PBE | relaxed
data_La6Pd2Au
_cell_length_a 8.893
_cell_length_b 8.893
_cell_length_c 8.893
_cell_angle_alpha 106.30
_cell_angle_beta 108.96
_cell_angle_gamma 113.23
_space_group_name_H-M_alt 'P 1'
_space_group_IT_number 1
loop_
_space_group_symop_operation_xyz
'x,y,z'
loop_
_atom_site_label
_atom_site_type_symbol
_atom_site_fract_x
_atom_site_fract_y
_atom_site_fract_z
La1 La 0.545 0.718 0.827
La2 La 0.455 0.282 0.173
La3 La 0.109 0.282 0.827
La4 La 0.891 0.718 0.173
La5 La 0.812 0.760 0.572
La6 La 0.188 0.240 0.428
La7 La 0.188 0.760 0.948
La8 La 0.812 0.240 0.052
La9 La 0.701 0.369 0.668
La10 La 0.299 0.631 0.332
La11 La 0.299 0.967 0.668
La12 La 0.701 0.033 0.332
Pd1 Pd 0.500 0.366 0.866
Pd2 Pd 0.500 0.634 0.134
Pd3 Pd 0.653 0.000 0.653
Pd4 Pd 0.347 0.000 0.347
Au1 Au 0.000 0.500 0.500
Au2 Au 0.000 0.000 0.000
# Formation enthalpy at 0 K ... -458 kJ/mol of formula units
# Symmetry ... No. 71

Entry 11:
# TiIn2 | Alexandria | PBE | relaxed
data_TiIn2
_cell_length_a 3.044
_cell_length_b 3.044
_cell_length_c 8.341
_cell_angle_alpha 111.80
_cell_angle_beta 111.80
_cell_angle_gamma 89.57
_space_group_name_H-M_alt 'P 1'
_space_group_IT_number 1
loop_
_space_group_symop_operation_xyz
'x,y,z'
loop_
_atom_site_label
_atom_site_type_symbol
_atom_site_fract_x
_atom_site_fract_y
_atom_site_fract_z
Ti1 Ti 0.500 0.500 0.000
In1 In 0.298 0.298 0.295
In2 In 0.702 0.702 0.705
# Formation enthalpy at 0 K ... -18 kJ/mol of formula units
# Symmetry ... No. 12